VASP calculation (PBE) on a geometry-optimized AcBiRhO6 structure.

abc: 5.9319 5.9319 8.5638
angles: 90.00 90.00 120.00
Space group P-31c (No. 163)
Inequivalent atoms, fractional coordinates:
Ac 0.3333 0.6667 0.2500 [2 per cell]
Bi 0.0000 0.0000 0.0000 [2 per cell]
Rh 0.3333 0.6667 0.7500 [2 per cell]
O 0.0627 0.3808 0.6210 [12 per cell]

## Properties
Its calculated total energy is -6.394 eV per atom.

VASP calculation (PBE) on a geometry-optimized La3Nd2ThS6 structure.

abc: 17.902 4.110 8.209
angles: 90.00 103.36 90.00
Space group C2/m (No. 12)
Inequivalent atoms, fractional coordinates:
La 0.000 0.000 0.000 [2 per cell]
La 0.166 0.500 0.333 [4 per cell]
Nd 0.166 0.500 0.832 [4 per cell]
Th 0.000 0.000 0.500 [2 per cell]
S 0.001 0.500 0.746 [4 per cell]
S 0.165 0.000 0.586 [4 per cell]
S 0.169 0.000 0.080 [4 per cell]

## Properties
Its calculated total energy is -6.772 eV per atom.

VASP calculation (PBE) on a geometry-optimized MgBeB structure.

abc: 3.695 3.057 6.352
angles: 90.00 96.38 90.00
Space group P2_1/m (No. 11)
Inequivalent atoms, fractional coordinates:
Mg 0.214 0.250 0.342 [2 per cell]
Be 0.359 0.250 0.895 [2 per cell]
B 0.120 0.750 0.025 [2 per cell]

## Properties
Its calculated total energy is -3.996 eV per atom. For the energy above the most stable polymorph in this dataset, the calculation gives 0 meV per atom.

VASP calculation (PBE) on a geometry-optimized TaIn2Pb structure.

abc: 3.905 3.905 6.056
angles: 90.00 90.00 90.00
Space group P4/mmm (No. 123)
Inequivalent atoms, fractional coordinates:
Ta 0.000 0.000 0.000 [1 per cell]
In 0.500 0.500 0.232 [2 per cell]
Pb 0.000 0.000 0.500 [1 per cell]

## Properties
Its calculated total energy is -4.838 eV per atom.

VASP calculation (PBE) on a geometry-optimized LiTlW2 structure.

abc: 2.8960 2.8960 29.5909
angles: 90.00 90.00 120.00
Space group R3m (No. 160, hexagonal axes)
Inequivalent atoms, fractional coordinates:
Li 0.0000 0.0000 0.0000 [3 per cell]
Tl 0.0000 0.0000 0.2498 [3 per cell]
W 0.0000 0.0000 0.4948 [3 per cell]
W 0.0000 0.0000 0.7481 [3 per cell]

## Properties
Its calculated total energy is -6.927 eV per atom. For the energy above the most stable polymorph in this dataset, the calculation gives 191 meV per atom.

VASP calculation (PBE) on a geometry-optimized DyHoTcAu structure.

abc: 6.988 6.988 6.988
angles: 90.00 90.00 90.00
Space group F-43m (No. 216)
Inequivalent atoms, fractional coordinates:
Dy 0.000 0.000 0.000 [4 per cell]
Ho 0.000 0.000 0.500 [4 per cell]
Tc 0.250 0.250 0.750 [4 per cell]
Au 0.250 0.250 0.250 [4 per cell]

## Properties
Its calculated total energy is -6.076 eV per atom.

VASP calculation (PBE) on a geometry-optimized YBeF6 structure.

abc: 5.422 6.743 4.627
angles: 90.00 100.09 90.00
Space group C2/m (No. 12)
Inequivalent atoms, fractional coordinates:
Y 0.000 0.000 0.000 [2 per cell]
Be 0.000 0.500 0.500 [2 per cell]
F 0.133 0.328 0.770 [8 per cell]
F 0.226 0.000 0.634 [4 per cell]

## Properties
Its calculated total energy is -5.694 eV per atom.

VASP calculation (PBE) on a geometry-optimized NaCu4P3 structure.

abc: 3.993 3.993 7.382
angles: 90.00 90.00 90.00
Space group P4/mmm (No. 123)
Inequivalent atoms, fractional coordinates:
Na 0.000 0.000 0.000 [1 per cell]
Cu 0.000 0.500 0.318 [4 per cell]
P 0.000 0.000 0.500 [1 per cell]
P 0.500 0.500 0.149 [2 per cell]

## Properties
Its calculated total energy is -4.442 eV per atom.

VASP calculation (PBE) on a geometry-optimized TlTe2N2 structure.

abc: 4.190 4.190 6.402
angles: 90.00 90.00 90.00
Space group P4/mmm (No. 123)
Inequivalent atoms, fractional coordinates:
Tl 0.000 0.000 0.000 [1 per cell]
Te 0.500 0.500 0.000 [1 per cell]
Te 0.500 0.500 0.500 [1 per cell]
N 0.000 0.500 0.500 [2 per cell]

## Properties
Its calculated total energy is -3.783 eV per atom. For the energy above the most stable polymorph in this dataset, the calculation gives 0 meV per atom.

VASP calculation (PBE) on a geometry-optimized SrLi5Tl structure.

abc: 4.130 4.130 10.453
angles: 90.00 90.00 90.00
Space group P4/mmm (No. 123)
Inequivalent atoms, fractional coordinates:
Sr 0.000 0.000 0.000 [1 per cell]
Li 0.000 0.000 0.500 [1 per cell]
Li 0.000 0.500 0.291 [4 per cell]
Tl 0.500 0.500 0.500 [1 per cell]

## Properties
Its calculated total energy is -2.009 eV per atom.

VASP calculation (PBE) on a geometry-optimized Pr7AsSe5 structure.

abc: 13.971 4.190 25.103
angles: 90.00 90.06 90.00
Space group Cm (No. 8)
Inequivalent atoms, fractional coordinates:
Pr 0.000 0.000 0.000 [2 per cell]
Pr 0.000 0.000 0.137 [2 per cell]
Pr 0.058 0.500 0.857 [2 per cell]
Pr 0.059 0.500 0.281 [2 per cell]
Pr 0.105 0.000 0.701 [2 per cell]
Pr 0.108 0.000 0.435 [2 per cell]
Pr 0.165 0.500 0.569 [2 per cell]
Pr 0.229 0.500 0.069 [2 per cell]
Pr 0.287 0.000 0.936 [2 per cell]
Pr 0.288 0.000 0.201 [2 per cell]
Pr 0.335 0.500 0.781 [2 per cell]
Pr 0.336 0.500 0.357 [2 per cell]
Pr 0.393 0.000 0.637 [2 per cell]
Pr 0.395 0.000 0.500 [2 per cell]
As 0.011 0.000 0.570 [2 per cell]
As 0.383 0.000 0.069 [2 per cell]
Se 0.142 0.500 0.174 [2 per cell]
Se 0.142 0.500 0.964 [2 per cell]
Se 0.196 0.000 0.819 [2 per cell]
Se 0.198 0.000 0.319 [2 per cell]
Se 0.251 0.500 0.674 [2 per cell]
Se 0.253 0.500 0.464 [2 per cell]
Se 0.419 0.500 0.891 [2 per cell]
Se 0.420 0.500 0.246 [2 per cell]
Se 0.474 0.000 0.746 [2 per cell]
Se 0.476 0.000 0.391 [2 per cell]

## Properties
Its calculated total energy is -5.895 eV per atom.

VASP calculation (PBE) on a geometry-optimized HoCoSi3Tc structure.

abc: 7.388 10.699 5.410
angles: 90.00 90.00 90.00
Space group Cmcm (No. 63)
Inequivalent atoms, fractional coordinates:
Ho 0.000 0.243 0.250 [4 per cell]
Co 0.000 0.037 0.750 [4 per cell]
Si 0.000 0.232 0.750 [4 per cell]
Si 0.242 0.000 0.000 [8 per cell]
Tc 0.000 0.441 0.750 [4 per cell]

## Properties
Its calculated total energy is -6.742 eV per atom.

VASP calculation (PBE) on a geometry-optimized AlFeRu2C structure.

abc: 4.040 4.040 3.734
angles: 90.00 90.00 90.00
Space group P4/mmm (No. 123)
Inequivalent atoms, fractional coordinates:
Al 0.000 0.000 0.000 [1 per cell]
Fe 0.500 0.500 0.000 [1 per cell]
Ru 0.000 0.500 0.500 [2 per cell]
C 0.500 0.500 0.500 [1 per cell]

## Properties
Its calculated total energy is -8.124 eV per atom.

VASP calculation (PBE) on a geometry-optimized Hf2InPb structure.

abc: 4.509 4.509 4.439
angles: 90.00 90.00 90.00
Space group P4/mmm (No. 123)
Inequivalent atoms, fractional coordinates:
Hf 0.000 0.500 0.000 [2 per cell]
In 0.000 0.000 0.500 [1 per cell]
Pb 0.500 0.500 0.500 [1 per cell]

## Properties
Its calculated total energy is -6.601 eV per atom. For the energy above the most stable polymorph in this dataset, the calculation gives 3 meV per atom.

VASP calculation (PBE) on a geometry-optimized La3Tb2TmBi6 structure.

abc: 7.966 13.795 7.928
angles: 90.00 109.55 90.00
Space group C2/m (No. 12)
Inequivalent atoms, fractional coordinates:
La 0.000 0.000 0.000 [2 per cell]
La 0.000 0.332 0.000 [4 per cell]
Tb 0.000 0.166 0.500 [4 per cell]
Tm 0.000 0.500 0.500 [2 per cell]
Bi 0.244 0.334 0.736 [8 per cell]
Bi 0.248 0.000 0.738 [4 per cell]

## Properties
Its calculated total energy is -5.265 eV per atom.

VASP calculation (PBE) on a geometry-optimized Ce2Ga6Ru structure.

abc: 8.854 8.854 8.854
angles: 90.00 90.00 90.00
Space group Fm-3m (No. 225)
Inequivalent atoms, fractional coordinates:
Ce 0.250 0.250 0.250 [8 per cell]
Ga 0.000 0.000 0.217 [24 per cell]
Ru 0.000 0.000 0.500 [4 per cell]

## Properties
Its calculated total energy is -4.941 eV per atom. For the energy above the most stable polymorph in this dataset, the calculation gives 0 meV per atom.

VASP calculation (PBE) on a geometry-optimized PmThRu structure.

abc: 6.946 6.946 6.946
angles: 90.00 90.00 90.00
Space group F-43m (No. 216)
Inequivalent atoms, fractional coordinates:
Pm 0.000 0.000 0.000 [4 per cell]
Th 0.000 0.000 0.500 [4 per cell]
Ru 0.250 0.250 0.750 [4 per cell]

## Properties
Its calculated total energy is -7.332 eV per atom. For the energy above the most stable polymorph in this dataset, the calculation gives 92 meV per atom.

VASP calculation (PBE) on a geometry-optimized EuHfBi2 structure.

abc: 3.680 3.680 8.326
angles: 90.00 90.00 90.00
Space group P4/mmm (No. 123)
Inequivalent atoms, fractional coordinates:
Eu 0.000 0.000 0.000 [1 per cell]
Hf 0.000 0.000 0.500 [1 per cell]
Bi 0.500 0.500 0.281 [2 per cell]

## Properties
Its calculated total energy is -7.330 eV per atom. For the energy above the most stable polymorph in this dataset, the calculation gives 0 meV per atom.

VASP calculation (PBE) on a geometry-optimized Cd2InHg structure.

abc: 8.328 8.328 6.128
angles: 90.00 90.00 90.00
Space group I-42d (No. 122)
Inequivalent atoms, fractional coordinates:
Cd 0.243 0.250 0.125 [8 per cell]
In 0.000 0.000 0.500 [4 per cell]
Hg 0.000 0.000 0.000 [4 per cell]

## Properties
Its calculated total energy is -1.154 eV per atom. For the energy above the most stable polymorph in this dataset, the calculation gives 45 meV per atom.

VASP calculation (PBE) on a geometry-optimized Sn3Au5Br12 structure.

abc: 17.028 17.028 17.028
angles: 90.00 90.00 90.00
Space group Ia-3d (No. 230)
Inequivalent atoms, fractional coordinates:
Sn 0.000 0.250 0.125 [24 per cell]
Au 0.000 0.000 0.000 [16 per cell]
Au 0.000 0.250 0.375 [24 per cell]
Br 0.023 0.064 0.651 [96 per cell]

## Properties
Its calculated total energy is -2.661 eV per atom.